! PBE+U CoGeO6F6, optimized geometry; values from VASP
! final energy = -4.0262 eV per atom
! theoretical density = 3.13 g/cm3
! SG = P2_1/c (14)
&SYSTEM
  ibrav = 0, nat = 28, ntyp = 4
/
ATOMIC_SPECIES
F 19.00 F.upf
O 16.00 O.upf
Co 58.93 Co.upf
Ge 72.64 Ge.upf
CELL_PARAMETERS angstrom
-2.611 -2.854 -6.949
-4.787 -1.489 2.410
-6.059 6.442 -0.369
ATOMIC_POSITIONS angstrom
F -4.246 1.247 -1.919
F -4.054 -1.134 0.747
F -7.988 -1.060 -1.726
F -9.404 3.233 -5.655
F -6.599 -2.825 -3.913
F -6.859 4.924 -0.995
F -1.485 0.982 -0.456
F -11.973 1.118 -4.452
F -7.676 1.440 -1.016
F -5.470 3.159 -3.182
F -5.782 0.660 -3.892
F -9.212 0.852 -2.989
O -9.194 3.724 -1.012
O -7.673 1.181 -5.091
O -4.642 3.102 -0.467
O -11.078 3.058 -2.582
O -5.785 0.918 0.183
O -8.816 -1.002 -4.441
O -6.339 -0.863 -5.681
O -7.119 2.962 0.773
O -2.380 -0.959 -2.326
O -4.264 -1.625 -3.896
O -8.456 3.355 -3.437
O -5.002 -1.256 -1.471
Co -5.423 2.477 1.021
Co -3.699 -2.172 -2.270
Ge -4.335 1.794 -3.659
Ge 0.000 0.000 0.000

! PBE+U CoGe2RuF, optimized geometry; values from VASP
! final energy = -4.8033 eV per atom
! theoretical density = 6.92 g/cm3
! SG = P4/mmm (123)
&SYSTEM
  ibrav = 0, nat = 5, ntyp = 4
/
ATOMIC_SPECIES
Ru 101.07 Ru.upf
Ge 72.64 Ge.upf
F 19.00 F.upf
Co 58.93 Co.upf
CELL_PARAMETERS angstrom
-1.983 -4.101 0.974
-0.352 -0.663 -3.507
4.191 -2.034 -0.036
ATOMIC_POSITIONS angstrom
Ru 0.928 -3.399 -1.285
Ge 2.095 -1.017 -0.018
Ge -0.991 -2.051 0.487
F -0.176 -0.331 -1.754
Co 0.000 0.000 0.000